Record 1
# Ta2Te4I, optimized geometry, DFT PBE-GGA
data_Ta2Te4I
_chemical_formula_sum 'Ta4 Te8 I2'
_cell_length_a 7.4128
_cell_length_b 7.7860
_cell_length_c 8.8243
_cell_angle_alpha 116.15
_cell_angle_beta 111.11
_cell_angle_gamma 90.08
_space_group_name_H-M_alt 'P 1'
_space_group_IT_number 1
_space_group_name_Hall 'P 1'
loop_
_atom_site_label
_atom_site_fract_x
_atom_site_fract_y
_atom_site_fract_z
Ta1 0.0000 0.0000 0.0000
Ta2 0.0000 0.3830 0.9996
Ta3 0.3882 0.5099 0.6384
Ta4 0.9592 0.4728 0.5651
Te1 0.1275 0.1514 0.4229
Te2 0.1284 0.6540 0.4242
Te3 0.2299 0.6537 0.9242
Te4 0.3401 0.3092 0.2350
Te5 0.6998 0.2706 0.6305
Te6 0.7007 0.7415 0.6311
Te7 0.7605 0.2483 0.1138
Te8 0.7626 0.6846 0.9868
I1 0.1542 0.0862 0.7894
I2 0.6746 0.8396 0.3028
# Uncorrected formation energy ... -7 kJ per mole of atoms
# Space group ... No. 1
# Crystal system ... triclinic



Record 2
# Ca2NdTm, optimized geometry, DFT PBE-GGA
data_Ca2NdTm
_chemical_formula_sum 'Ca2 Nd1 Tm1'
_cell_length_a 5.8768
_cell_length_b 5.8768
_cell_length_c 5.8768
_cell_angle_alpha 60.00
_cell_angle_beta 60.00
_cell_angle_gamma 60.00
_space_group_name_H-M_alt 'P 1'
_space_group_IT_number 1
_space_group_name_Hall 'P 1'
loop_
_atom_site_label
_atom_site_fract_x
_atom_site_fract_y
_atom_site_fract_z
Ca1 0.2500 0.2500 0.2500
Ca2 0.7500 0.7500 0.7500
Nd1 0.0000 0.0000 0.0000
Tm1 0.5000 0.5000 0.5000
# Energy of formation from the pure elements ... 63 kJ/mol of formula units
# Space group ... No. 225
# Crystal system ... cubic



Record 3
# ThScZnTc, optimized geometry, DFT PBE-GGA
data_ThScZnTc
_chemical_formula_sum 'Th1 Sc1 Zn1 Tc1'
_cell_length_a 4.9075
_cell_length_b 4.9075
_cell_length_c 4.9075
_cell_angle_alpha 60.00
_cell_angle_beta 60.00
_cell_angle_gamma 60.00
_space_group_name_H-M_alt 'P 1'
_space_group_IT_number 1
_space_group_name_Hall 'P 1'
loop_
_atom_site_label
_atom_site_fract_x
_atom_site_fract_y
_atom_site_fract_z
Th1 0.0000 0.0000 0.0000
Sc1 0.5000 0.5000 0.5000
Zn1 0.7500 0.7500 0.7500
Tc1 0.2500 0.2500 0.2500
# Energy of formation from the pure elements ... -66 kJ/mol of formula units
# Space group ... No. 216
# Crystal system ... cubic



Record 4
# TcSbRu2, optimized geometry, DFT PBE-GGA
data_TcSbRu2
_chemical_formula_sum 'Tc1 Sb1 Ru2'
_cell_length_a 8.7657
_cell_length_b 8.7657
_cell_length_c 8.7657
_cell_angle_alpha 19.25
_cell_angle_beta 19.25
_cell_angle_gamma 19.25
_space_group_name_H-M_alt 'P 1'
_space_group_IT_number 1
_space_group_name_Hall 'P 1'
loop_
_atom_site_label
_atom_site_fract_x
_atom_site_fract_y
_atom_site_fract_z
Tc1 0.0000 0.0000 0.0000
Sb1 0.2453 0.2453 0.2453
Ru1 0.4958 0.4958 0.4958
Ru2 0.7462 0.7462 0.7462
# Uncorrected formation energy ... 38 kJ per mole of atoms
# Space group ... No. 160
# Crystal system ... trigonal



Record 5
# BaHgSe, optimized geometry, DFT PBE-GGA
data_BaHgSe
_chemical_formula_sum 'Ba1 Hg1 Se1'
_cell_length_a 5.3567
_cell_length_b 5.3567
_cell_length_c 5.3567
_cell_angle_alpha 60.00
_cell_angle_beta 60.00
_cell_angle_gamma 60.00
_space_group_name_H-M_alt 'P 1'
_space_group_IT_number 1
_space_group_name_Hall 'P 1'
loop_
_atom_site_label
_atom_site_fract_x
_atom_site_fract_y
_atom_site_fract_z
Ba1 0.0000 0.0000 0.0000
Hg1 0.7500 0.7500 0.7500
Se1 0.5000 0.5000 0.5000
# Uncorrected formation energy ... -89 kJ per mole of atoms
# Space group ... No. 216
# Crystal system ... cubic



Record 6
# NiSe2S6, optimized geometry, DFT PBE-GGA
data_NiSe2S6
_chemical_formula_sum 'Ni1 Se2 S6'
_cell_length_a 4.5519
_cell_length_b 5.2902
_cell_length_c 10.0709
_cell_angle_alpha 83.65
_cell_angle_beta 85.03
_cell_angle_gamma 89.92
_space_group_name_H-M_alt 'P 1'
_space_group_IT_number 1
_space_group_name_Hall 'P 1'
loop_
_atom_site_label
_atom_site_fract_x
_atom_site_fract_y
_atom_site_fract_z
Ni1 0.0000 0.0000 0.0000
Se1 0.4019 0.0933 0.8403
Se2 0.5981 0.9067 0.1597
S1 0.1274 0.3736 0.0458
S2 0.1470 0.3475 0.6926
S3 0.4243 0.6001 0.5863
S4 0.5757 0.3999 0.4137
S5 0.8530 0.6525 0.3074
S6 0.8726 0.6264 0.9542
# Uncorrected formation energy ... 6 kJ per mole of atoms
# Space group ... No. 2
# Crystal system ... triclinic



Record 7
# Al2TlTe, optimized geometry, DFT PBE-GGA
data_Al2TlTe
_chemical_formula_sum 'Al2 Tl1 Te1'
_cell_length_a 6.0708
_cell_length_b 6.0708
_cell_length_c 6.0708
_cell_angle_alpha 144.65
_cell_angle_beta 129.23
_cell_angle_gamma 63.38
_space_group_name_H-M_alt 'P 1'
_space_group_IT_number 1
_space_group_name_Hall 'P 1'
loop_
_atom_site_label
_atom_site_fract_x
_atom_site_fract_y
_atom_site_fract_z
Al1 0.0000 0.0000 0.0000
Al2 0.7802 0.2802 0.5000
Tl1 0.5008 0.5008 0.0000
Te1 0.2112 0.7112 0.5000
# Uncorrected formation energy ... 15 kJ per mole of atoms
# Space group ... No. 44
# Crystal system ... orthorhombic



Record 8
# Ho5Tl4Ru, optimized geometry, DFT PBE-GGA
data_Ho5Tl4Ru
_chemical_formula_sum 'Ho5 Tl4 Ru1'
_cell_length_a 3.4761
_cell_length_b 3.4761
_cell_length_c 21.0655
_cell_angle_alpha 90.00
_cell_angle_beta 90.00
_cell_angle_gamma 90.00
_space_group_name_H-M_alt 'P 1'
_space_group_IT_number 1
_space_group_name_Hall 'P 1'
loop_
_atom_site_label
_atom_site_fract_x
_atom_site_fract_y
_atom_site_fract_z
Ho1 0.0000 0.0000 0.0000
Ho2 0.0000 0.0000 0.2077
Ho3 0.0000 0.0000 0.4220
Ho4 0.0000 0.0000 0.5780
Ho5 0.0000 0.0000 0.7923
Tl1 0.5000 0.5000 0.1038
Tl2 0.5000 0.5000 0.3114
Tl3 0.5000 0.5000 0.6886
Tl4 0.5000 0.5000 0.8962
Ru1 0.5000 0.5000 0.5000
# Energy of formation from the pure elements ... -347 kJ/mol of formula units
# Space group ... No. 123
# Crystal system ... tetragonal